Record 1
Density functional theory data (PBE-GGA) for Li5Ac2Zn5 after structural relaxation.

a = 4.489 Å, b = 5.665 Å, c = 9.848 Å
α = 90.00°, β = 90.00°, γ = 90.00°
Fractional coordinates of all 12 atoms:
Zn 0.000 0.500 0.666
Zn 0.000 0.000 0.837
Zn 0.000 0.000 0.163
Zn 0.500 0.000 0.000
Zn 0.000 0.500 0.334
Li 0.500 0.754 0.758
Li 0.500 0.246 0.242
Li 0.500 0.246 0.758
Li 0.500 0.754 0.242
Li 0.500 0.500 0.500
Ac 0.000 0.500 0.000
Ac 0.000 0.000 0.500

Values from the calculation:
The calculation puts the formation energy at -17.31 kJ/mol of atoms. Its symmetry is Pmmm, No. 47.



Record 2
Density functional theory data (PBE-GGA) for Ba3S2O after structural relaxation.

a = 7.436 Å, b = 7.374 Å, c = 7.374 Å
α = 112.49°, β = 90.00°, γ = 90.00°
Fractional coordinates of all 12 atoms:
Ba 0.250 0.602 0.602
Ba 0.000 0.153 0.847
Ba 0.500 0.153 0.847
Ba 0.750 0.398 0.398
Ba 0.000 0.847 0.153
Ba 0.500 0.847 0.153
S 0.250 0.495 0.154
S 0.250 0.154 0.495
S 0.750 0.505 0.846
S 0.750 0.846 0.505
O 0.750 0.094 0.094
O 0.250 0.906 0.906

Values from the calculation:
Its raw formation energy is -2.03 eV/atom. The energy above the most stable polymorph in this dataset is 0.0798 eV/atom. Its symmetry is Cmcm, No. 63.



Record 3
Density functional theory data (PBE-GGA) for FeNiPt2 after structural relaxation.

a = 3.878 Å, b = 3.878 Å, c = 3.670 Å
α = 90.00°, β = 90.00°, γ = 90.00°
Site moments in Bohr magnetons follow the coordinates.
Fractional coordinates of all 4 atoms:
Ni 0.000 0.500 0.500  0.82
Pt 0.500 0.500 0.000  0.41
Pt 0.000 0.000 0.000  0.41
Fe 0.500 0.000 0.500  3.18

Values from the calculation:
The calculation puts the formation energy at -21.38 kJ/mol of atoms. Its symmetry is P4/mmm, No. 123.



Record 4
Density functional theory data (PBE-GGA) for BeZn2Cd after structural relaxation.

a = 2.870 Å, b = 2.870 Å, c = 7.394 Å
α = 90.00°, β = 90.00°, γ = 90.01°
Fractional coordinates of all 4 atoms:
Zn 0.500 0.500 0.283
Zn 0.000 0.000 0.029
Be 0.000 0.000 0.467
Cd 0.500 0.500 0.720

Values from the calculation:
The calculation puts the formation energy at 21.97 kJ/mol of atoms. The energy above the most stable polymorph in this dataset is 0.0762 eV/atom. Its symmetry is P4mm, No. 99.